Material: DyHo2VO6
Method: DFT, GGA+U
State: optimized geometry

a b c (Å): 5.6316 5.6316 14.8137
angles (deg): 90.00 90.00 120.00
Space group R3 (No. 146, hexagonal axes)
Inequivalent atoms, fractional coordinates:
Dy 0.0000 0.0000 0.0000
Ho 0.0000 0.0000 0.2772
Ho 0.0000 0.0000 0.7836
V 0.0000 0.0000 0.4904
O 0.0442 0.3457 0.5575
O 0.0569 0.6768 0.0626

Results
Its total energy is -0.606 Ry/atom. Its volume is 407 Å³/cell.